A relaxed BaReIrPb2 crystal. Source: the Alexandria database, functional PBE-GGA.

a b c (Å): 5.3718 5.3718 5.0718
angles (deg): 90.00 90.00 90.00
Last column: nearest neighbours and their distance in Å.
Atoms (fractional coordinates):
1 Ba 0.0000 0.0000 0.0000  8 Pb 3.69, 4 Re 3.80
2 Re 0.5000 0.5000 0.0000  2 Ir 2.54
3 Ir 0.5000 0.5000 0.5000  2 Re 2.54, 4 Pb 2.69
4 Pb 0.0000 0.5000 0.5000  2 Ir 2.69
5 Pb 0.5000 0.0000 0.5000  2 Ir 2.69

Results
For the calculated density, the calculation gives 10.55 g cm⁻³. The calculation puts the density of states at the Fermi level at 1.59 states/eV/atom. Its energy is -5.336 eV/atom. Its symmetry is P4/mmm, No. 123.

A relaxed RbInCoAs2 crystal. Source: the Alexandria database, functional PBE-GGA.

a b c (Å): 5.6693 5.6693 5.9182
angles (deg): 90.00 90.00 90.00
Last column: nearest neighbours and their distance in Å.
Atoms (fractional coordinates):
1 Rb 0.0000 0.0000 0.0000  4 As 2.83, 2 In 2.96
2 In 0.0000 0.0000 0.5000  2 Rb 2.96
3 Co 0.5000 0.5000 0.5000  4 In 4.01, 8 As 4.10
4 As 0.0000 0.5000 0.0000  2 Rb 2.83
5 As 0.5000 0.0000 0.0000  2 Rb 2.83

Results
For the calculated density, the calculation gives 3.57 g cm⁻³. The calculation puts the density of states at the Fermi level at 1.54 states/eV/atom. Its energy is -2.084 eV/atom. Its symmetry is P4/mmm, No. 123.

A relaxed Rb4NdU3O12 crystal. Source: the Alexandria database, functional PBE-GGA.

a b c (Å): 7.6128 7.6128 7.6128
angles (deg): 109.47 109.47 109.47
Last column: nearest neighbours and their distance in Å.
Atoms (fractional coordinates):
1 Rb 0.0000 0.0000 0.5000  12 O 3.11
2 Rb 0.0000 0.5000 0.0000  12 O 3.11
3 Rb 0.5000 0.0000 0.0000  12 O 3.11
4 Rb 0.5000 0.5000 0.5000  12 O 3.11
5 Nd 0.0000 0.0000 0.0000  6 O 2.38
6 U 0.0000 0.5000 0.5000  6 O 2.02-2.20
7 U 0.5000 0.0000 0.5000  6 O 2.02-2.20
8 U 0.5000 0.5000 0.0000  6 O 2.02-2.20
9 O 0.0000 0.2704 0.2704  1 U 2.02
10 O 0.0000 0.7296 0.7296  1 U 2.02
11 O 0.2500 0.5000 0.7500  2 U 2.20
12 O 0.2500 0.7500 0.5000  2 U 2.20
13 O 0.2704 0.0000 0.2704  1 U 2.02
14 O 0.2704 0.2704 0.0000  1 U 2.02
15 O 0.5000 0.2500 0.7500  2 U 2.20
16 O 0.5000 0.7500 0.2500  2 U 2.20
17 O 0.7296 0.0000 0.7296  1 U 2.02
18 O 0.7296 0.7296 0.0000  1 U 2.02
19 O 0.7500 0.2500 0.5000  2 U 2.20
20 O 0.7500 0.5000 0.2500  2 U 2.20

Results
For the calculated density, the calculation gives 6.81 g cm⁻³. The calculation puts the density of states at the Fermi level at 0.43 states/eV/atom. The formation energy from raw total energies is -2870 meV/atom. Its symmetry is Im-3m, No. 229.

A relaxed LaTc3Hg crystal. Source: the Alexandria database, functional PBE-GGA.

a b c (Å): 5.0545 5.0545 5.0545
angles (deg): 90.00 90.00 90.00
Last column: nearest neighbours and their distance in Å.
Atoms (fractional coordinates):
1 La 0.0000 0.0000 0.0000  12 Tc 3.57
2 Tc 0.0000 0.5000 0.5000  2 Hg 2.53
3 Tc 0.5000 0.0000 0.5000  2 Hg 2.53
4 Tc 0.5000 0.5000 0.0000  2 Hg 2.53
5 Hg 0.5000 0.5000 0.5000  6 Tc 2.53

Results
For the calculated density, the calculation gives 8.15 g cm⁻³. The calculation puts the density of states at the Fermi level at 1.89 states/eV/atom. Its energy is -5.468 eV/atom. Its symmetry is Pm-3m, No. 221.

A relaxed SrY2As crystal. Source: the Alexandria database, functional PBE-GGA.

a b c (Å): 3.6695 3.6695 9.5941
angles (deg): 90.00 90.00 90.00
Last column: nearest neighbours and their distance in Å.
Atoms (fractional coordinates):
1 Sr 0.0000 0.0000 0.0000  4 Sr 3.67
2 Y 0.5000 0.5000 0.3325  4 As 3.05, 1 Y 3.21
3 Y 0.5000 0.5000 0.6675  4 As 3.05, 1 Y 3.21
4 As 0.0000 0.0000 0.5000  8 Y 3.05

Results
For the calculated density, the calculation gives 4.37 g cm⁻³. The calculation puts the density of states at the Fermi level at 1.29 states/eV/atom. Its energy is -5.288 eV/atom. Its symmetry is P4/mmm, No. 123.

A relaxed Ac4US10 crystal. Source: the Alexandria database, functional PBE-GGA.

a b c (Å): 8.5478 8.5478 8.5478
angles (deg): 98.28 98.28 135.39
Last column: nearest neighbours and their distance in Å.
Atoms (fractional coordinates):
1 Ac 0.0997 0.2993 0.3989  8 S 2.99-3.11
2 Ac 0.2993 0.9003 0.1996  8 S 2.99-3.11
3 Ac 0.7007 0.0997 0.8004  8 S 2.99-3.11
4 Ac 0.9003 0.7007 0.6011  8 S 2.99-3.11
5 U 0.5000 0.5000 0.0000  8 S 2.74
6 S 0.0850 0.1748 0.7252  1 U 2.74, 1 S 3.02, 2 Ac 3.03-3.06
7 S 0.1748 0.4496 0.0898  1 U 2.74, 1 S 3.02, 2 Ac 3.03-3.06
8 S 0.2500 0.7500 0.5000  4 Ac 2.99, 2 S 3.24
9 S 0.3598 0.0850 0.9102  1 U 2.74, 1 S 3.02, 2 Ac 3.03-3.06
10 S 0.4496 0.3598 0.2748  1 U 2.74, 1 S 3.02, 2 Ac 3.03-3.06
11 S 0.5504 0.6402 0.7252  1 U 2.74, 1 S 3.02, 2 Ac 3.03-3.06
12 S 0.6402 0.9150 0.0898  1 U 2.74, 1 S 3.02, 2 Ac 3.03-3.06
13 S 0.7500 0.2500 0.5000  4 Ac 2.99, 2 S 3.24
14 S 0.8252 0.5504 0.9102  1 U 2.74, 1 S 3.02, 2 Ac 3.03-3.06
15 S 0.9150 0.8252 0.2748  1 U 2.74, 1 S 3.02, 2 Ac 3.03-3.06

Results
For the calculated density, the calculation gives 6.00 g cm⁻³. The calculation puts the density of states at the Fermi level at 0.45 states/eV/atom. The formation energy from raw total energies is -1637 meV/atom. Its symmetry is I4/m, No. 87.

A relaxed SnBiAu14 crystal. Source: the Alexandria database, functional PBE-GGA.

a b c (Å): 9.5812 5.9614 5.9614
angles (deg): 64.56 90.00 90.00
Last column: nearest neighbours and their distance in Å.
Atoms (fractional coordinates):
1 Sn 0.0000 0.0000 0.0000  10 Au 2.95-3.05, 2 Bi 3.19
2 Bi 0.0000 0.4781 0.4781  10 Au 2.94-3.11, 2 Sn 3.19
3 Au 0.0000 0.5100 0.9725  2 Bi 2.94-3.03, 7 Au 2.94-3.05, 2 Sn 2.97-3.00
4 Au 0.0000 0.9725 0.5100  2 Bi 2.94-3.03, 7 Au 2.94-3.05, 2 Sn 2.97-3.00
5 Au 0.2479 0.1729 0.1729  1 Sn 2.95, 11 Au 2.95-3.19
6 Au 0.2584 0.6654 0.6654  11 Au 2.91-3.19, 1 Bi 3.11
7 Au 0.2602 0.1574 0.6750  9 Au 2.87-3.07, 1 Sn 3.05, 1 Bi 3.05
8 Au 0.2602 0.6750 0.1574  9 Au 2.87-3.07, 1 Sn 3.05, 1 Bi 3.05
9 Au 0.5000 0.4816 0.9895  12 Au 2.91-3.23
10 Au 0.5000 0.4877 0.4877  12 Au 2.92-3.18
11 Au 0.5000 0.9895 0.4816  12 Au 2.91-3.23
12 Au 0.5000 0.9918 0.9918  12 Au 2.87-3.18
13 Au 0.7398 0.1574 0.6750  9 Au 2.87-3.07, 1 Sn 3.05, 1 Bi 3.05
14 Au 0.7398 0.6750 0.1574  9 Au 2.87-3.07, 1 Sn 3.05, 1 Bi 3.05
15 Au 0.7416 0.6654 0.6654  11 Au 2.91-3.19, 1 Bi 3.11
16 Au 0.7521 0.1729 0.1729  1 Sn 2.95, 11 Au 2.95-3.19

Results
For the calculated density, the calculation gives 16.66 g cm⁻³. The calculation puts the density of states at the Fermi level at 0.31 states/eV/atom. Its energy is -3.324 eV/atom. Its symmetry is Amm2, No. 38.

A relaxed Mg2CdS2 crystal. Source: the Alexandria database, functional PBE-GGA.

a b c (Å): 7.4897 7.4897 3.3493
angles (deg): 90.00 90.00 90.00
Last column: nearest neighbours and their distance in Å.
Atoms (fractional coordinates):
1 Mg 0.1535 0.3465 0.0000  6 S 2.68-2.82
2 Mg 0.3465 0.8465 0.0000  6 S 2.68-2.82
3 Mg 0.6535 0.1535 0.0000  6 S 2.68-2.82
4 Mg 0.8465 0.6535 0.0000  6 S 2.68-2.82
5 Cd 0.0000 0.0000 0.5000  4 S 2.86
6 Cd 0.5000 0.5000 0.5000  4 S 2.86
7 S 0.1490 0.6490 0.5000  6 Mg 2.68-2.82, 2 Cd 2.86
8 S 0.3510 0.1490 0.5000  6 Mg 2.68-2.82, 2 Cd 2.86
9 S 0.6490 0.8510 0.5000  6 Mg 2.68-2.82, 2 Cd 2.86
10 S 0.8510 0.3510 0.5000  6 Mg 2.68-2.82, 2 Cd 2.86

Results
For the calculated density, the calculation gives 3.98 g cm⁻³. The energy above the most stable polymorph in this dataset is 225 meV/atom. The calculation puts the density of states at the Fermi level at 0.08 states/eV/atom. The formation energy from raw total energies is -641 meV/atom. Its symmetry is P4/mbm, No. 127.